No. 1
# PBE-GGA NaFe2C2, optimized geometry
# excess energy over the best structure of this formula in the dataset = 0.000 eV per atom
data_NaFe2C2
_chemical_formula_sum 'Na2 Fe4 C4'
_symmetry_space_group_name_H-M 'I 4/m m m'
_symmetry_Int_Tables_number 139
_symmetry_space_group_name_Hall '-I 4 2'
_cell_length_a 3.791
_cell_length_b 3.791
_cell_length_c 10.612
_cell_angle_alpha 90.00
_cell_angle_beta 90.00
_cell_angle_gamma 90.00
loop_
_atom_site_label
_atom_site_fract_x
_atom_site_fract_y
_atom_site_fract_z
_atom_site_occupancy
Na1 0.000 0.000 0.000 1
Fe1 0.000 0.000 0.257 1
C1 0.000 0.500 0.250 1


No. 2
# PBE-GGA DyUTc2, optimized geometry
# excess energy over the best structure of this formula in the dataset = 0.172 eV per atom
data_DyUTc2
_chemical_formula_sum 'Dy1 U1 Tc2'
_symmetry_space_group_name_H-M 'P 4/m m m'
_symmetry_Int_Tables_number 123
_symmetry_space_group_name_Hall '-P 4 2'
_cell_length_a 4.803
_cell_length_b 4.803
_cell_length_c 3.372
_cell_angle_alpha 90.00
_cell_angle_beta 90.00
_cell_angle_gamma 90.00
loop_
_atom_site_label
_atom_site_fract_x
_atom_site_fract_y
_atom_site_fract_z
_atom_site_occupancy
Dy1 0.000 0.000 0.000 1
U1 0.500 0.500 0.000 1
Tc1 0.000 0.500 0.500 1


No. 3
# PBE-GGA Li2Ga3Ni2, optimized geometry
# excess energy over the best structure of this formula in the dataset = 0.055 eV per atom
data_Li2Ga3Ni2
_chemical_formula_sum 'Li4 Ga6 Ni4'
_symmetry_space_group_name_H-M 'C 1 2/m 1'
_symmetry_Int_Tables_number 12
_cell_length_a 8.573
_cell_length_b 3.728
_cell_length_c 6.065
_cell_angle_alpha 90.00
_cell_angle_beta 95.13
_cell_angle_gamma 90.00
loop_
_symmetry_equiv_pos_as_xyz
'x,y,z'
'-x,-y,-z'
'-x,y,-z'
'x,-y,z'
'x+1/2,y+1/2,z'
'-x+1/2,-y+1/2,-z'
'-x+1/2,y+1/2,-z'
'x+1/2,-y+1/2,z'
loop_
_atom_site_label
_atom_site_fract_x
_atom_site_fract_y
_atom_site_fract_z
_atom_site_occupancy
Li1 0.133 0.000 0.439 1
Ga1 0.000 0.000 0.000 1
Ga2 0.219 0.500 0.174 1
Ni1 0.075 0.500 0.773 1


No. 4
# PBE-GGA Zr2CdPb2, optimized geometry
# total DFT energy (no corrections) = -50.32 eV for the cell shown
data_Zr2CdPb2
_chemical_formula_sum 'Zr4 Cd2 Pb4'
_symmetry_space_group_name_H-M 'P 4/m b m'
_symmetry_Int_Tables_number 127
_symmetry_space_group_name_Hall '-P 4 2ab'
_cell_length_a 7.966
_cell_length_b 7.966
_cell_length_c 3.916
_cell_angle_alpha 90.00
_cell_angle_beta 90.00
_cell_angle_gamma 90.00
loop_
_atom_site_label
_atom_site_fract_x
_atom_site_fract_y
_atom_site_fract_z
_atom_site_occupancy
Zr1 0.150 0.350 0.000 1
Cd1 0.000 0.000 0.500 1
Pb1 0.150 0.650 0.500 1


No. 5
# PBE-GGA TbSm5Dy3, optimized geometry
# excess energy over the best structure of this formula in the dataset = 0.320 eV per atom
data_TbSm5Dy3
_chemical_formula_sum 'Tb4 Sm20 Dy12'
_symmetry_space_group_name_H-M 'C 1 2/m 1'
_symmetry_Int_Tables_number 12
_cell_length_a 15.206
_cell_length_b 11.624
_cell_length_c 9.868
_cell_angle_alpha 90.00
_cell_angle_beta 129.68
_cell_angle_gamma 90.00
loop_
_symmetry_equiv_pos_as_xyz
'x,y,z'
'-x,-y,-z'
'-x,y,-z'
'x,-y,z'
'x+1/2,y+1/2,z'
'-x+1/2,-y+1/2,-z'
'-x+1/2,y+1/2,-z'
'x+1/2,-y+1/2,z'
loop_
_atom_site_label
_atom_site_fract_x
_atom_site_fract_y
_atom_site_fract_z
_atom_site_occupancy
Tb1 0.249 0.000 0.092 1
Sm1 0.000 0.245 0.500 1
Sm2 0.146 0.248 0.242 1
Sm3 0.225 0.500 0.547 1
Sm4 0.228 0.000 0.735 1
Dy1 0.000 0.000 0.000 1
Dy2 0.000 0.500 0.500 1
Dy3 0.008 0.000 0.323 1
Dy4 0.015 0.500 0.854 1


No. 6
# PBE-GGA Ba2EuAl, optimized geometry
# excess energy over the best structure of this formula in the dataset = 0.000 eV per atom
data_Ba2EuAl
_chemical_formula_sum 'Ba2 Eu1 Al1'
_symmetry_space_group_name_H-M 'P 4/m m m'
_symmetry_Int_Tables_number 123
_symmetry_space_group_name_Hall '-P 4 2'
_cell_length_a 4.164
_cell_length_b 4.164
_cell_length_c 10.303
_cell_angle_alpha 90.00
_cell_angle_beta 90.00
_cell_angle_gamma 90.00
loop_
_atom_site_label
_atom_site_fract_x
_atom_site_fract_y
_atom_site_fract_z
_atom_site_occupancy
Ba1 0.000 0.000 0.191 1
Eu1 0.500 0.500 0.500 1
Al1 0.500 0.500 0.000 1


No. 7
# PBE-GGA Tm3Ga6Ir5, optimized geometry
# total DFT energy (no corrections) = -172.09 eV for the cell shown
data_Tm3Ga6Ir5
_chemical_formula_sum 'Tm6 Ga12 Ir10'
_symmetry_space_group_name_H-M 'P m m n'
_symmetry_Int_Tables_number 59
_cell_length_a 4.151
_cell_length_b 12.433
_cell_length_c 9.524
_cell_angle_alpha 90.00
_cell_angle_beta 90.00
_cell_angle_gamma 90.00
loop_
_symmetry_equiv_pos_as_xyz
'x,y,z'
'-x,-y,-z'
'-x+1/2,-y+1/2,z'
'x+1/2,y+1/2,-z'
'x+1/2,-y,-z'
'-x+1/2,y,z'
'-x,y+1/2,-z'
'x,-y+1/2,z'
loop_
_atom_site_label
_atom_site_fract_x
_atom_site_fract_y
_atom_site_fract_z
_atom_site_occupancy
Tm1 0.250 0.050 0.249 1
Tm2 0.250 0.750 0.236 1
Ga1 0.250 0.072 0.904 1
Ga2 0.250 0.250 0.087 1
Ga3 0.250 0.250 0.451 1
Ga4 0.250 0.595 0.524 1
Ir1 0.250 0.099 0.634 1
Ir2 0.250 0.634 0.964 1
Ir3 0.250 0.750 0.712 1


No. 8
# PBE-GGA Hf3AgRh, optimized geometry
# excess energy over the best structure of this formula in the dataset = 0.000 eV per atom
data_Hf3AgRh
_chemical_formula_sum 'Hf3 Ag1 Rh1'
_symmetry_space_group_name_H-M 'P m -3 m'
_symmetry_Int_Tables_number 221
_symmetry_space_group_name_Hall '-P 4 2 3'
_cell_length_a 4.965
_cell_length_b 4.965
_cell_length_c 4.965
_cell_angle_alpha 90.00
_cell_angle_beta 90.00
_cell_angle_gamma 90.00
loop_
_atom_site_label
_atom_site_fract_x
_atom_site_fract_y
_atom_site_fract_z
_atom_site_occupancy
Hf1 0.000 0.000 0.500 1
Ag1 0.500 0.500 0.500 1
Rh1 0.000 0.000 0.000 1


No. 9
# PBE-GGA EuAgSe2, optimized geometry
# uncorrected formation energy = -0.8811 eV per atom
data_EuAgSe2
_chemical_formula_sum 'Eu1 Ag1 Se2'
_symmetry_space_group_name_H-M 'P 4/m m m'
_symmetry_Int_Tables_number 123
_symmetry_space_group_name_Hall '-P 4 2'
_cell_length_a 4.924
_cell_length_b 4.924
_cell_length_c 3.751
_cell_angle_alpha 90.00
_cell_angle_beta 90.00
_cell_angle_gamma 90.00
loop_
_atom_site_label
_atom_site_fract_x
_atom_site_fract_y
_atom_site_fract_z
_atom_site_occupancy
Eu1 0.000 0.000 0.000 1
Ag1 0.500 0.500 0.000 1
Se1 0.000 0.500 0.500 1


No. 10
# PBE-GGA Zr3Fe8Os, optimized geometry
# total DFT energy (no corrections) = -320.34 eV for the cell shown
data_Zr3Fe8Os
_chemical_formula_sum 'Zr9 Fe24 Os3'
_symmetry_space_group_name_H-M 'R 3 m'
_symmetry_Int_Tables_number 160
_symmetry_space_group_name_Hall 'R 3 -2"'
_cell_length_a 4.9091
_cell_length_b 4.9091
_cell_length_c 24.1183
_cell_angle_alpha 90.00
_cell_angle_beta 90.00
_cell_angle_gamma 120.00
loop_
_atom_site_label
_atom_site_fract_x
_atom_site_fract_y
_atom_site_fract_z
_atom_site_occupancy
Zr1 0.0000 0.0000 0.0000 1
Zr2 0.0000 0.0000 0.1291 1
Zr3 0.0000 0.0000 0.5109 1
Fe1 0.0000 0.0000 0.3168 1
Fe2 0.0000 0.0000 0.8173 1
Fe3 0.1674 0.3348 0.3998 1
Fe4 0.1675 0.3351 0.9011 1
Os1 0.0000 0.0000 0.6324 1


No. 11
# PBE-GGA CeZrOsAu, optimized geometry
# total DFT energy (no corrections) = -120.16 eV for the cell shown
data_CeZrOsAu
_chemical_formula_sum 'Ce4 Zr4 Os4 Au4'
_symmetry_space_group_name_H-M 'F -4 3 m'
_symmetry_Int_Tables_number 216
_symmetry_space_group_name_Hall 'F -4 2 3'
_cell_length_a 6.926
_cell_length_b 6.926
_cell_length_c 6.926
_cell_angle_alpha 90.00
_cell_angle_beta 90.00
_cell_angle_gamma 90.00
loop_
_atom_site_label
_atom_site_fract_x
_atom_site_fract_y
_atom_site_fract_z
_atom_site_occupancy
Ce1 0.000 0.000 0.000 1
Zr1 0.000 0.000 0.500 1
Os1 0.250 0.250 0.750 1
Au1 0.250 0.250 0.250 1


No. 12
# PBE-GGA LiAc2Tl, optimized geometry
# total DFT energy (no corrections) = -36.07 eV for the cell shown
data_LiAc2Tl
_chemical_formula_sum 'Li3 Ac6 Tl3'
_symmetry_space_group_name_H-M 'R -3 m'
_symmetry_Int_Tables_number 166
_symmetry_space_group_name_Hall '-R 3 2"'
_cell_length_a 3.8763
_cell_length_b 3.8763
_cell_length_c 37.1330
_cell_angle_alpha 90.00
_cell_angle_beta 90.00
_cell_angle_gamma 120.00
loop_
_atom_site_label
_atom_site_fract_x
_atom_site_fract_y
_atom_site_fract_z
_atom_site_occupancy
Li1 0.0000 0.0000 0.0000 1
Ac1 0.0000 0.0000 0.0955 1
Tl1 0.0000 0.0000 0.5000 1


Number 1: total magnetization 2.716 μB per formula unit, Fermi-level density of states 0.6980 states/eV/atom. Number 2: total magnetization 0.559 μB per formula unit, Fermi-level density of states 1.3045 states/eV/atom. Number 3: total magnetization 0.000 μB per formula unit, Fermi-level density of states 0.4095 states/eV/atom. Number 4: total magnetization 0.000 μB per formula unit, Fermi-level density of states 0.3487 states/eV/atom. Number 5: total magnetization 0.000 μB per formula unit, Fermi-level density of states 1.4883 states/eV/atom. Number 6: total magnetization 7.947 μB per formula unit, Fermi-level density of states 3.1048 states/eV/atom. Number 7: total magnetization 0.000 μB per formula unit, Fermi-level density of states 0.6994 states/eV/atom. Number 8: total magnetization 0.001 μB per formula unit, Fermi-level density of states 2.0796 states/eV/atom. Number 9: total magnetization 6.496 μB per formula unit, Fermi-level density of states 1.0637 states/eV/atom. Number 10: total magnetization 15.137 μB per formula unit, Fermi-level density of states 1.0339 states/eV/atom. Number 11: total magnetization 0.377 μB per formula unit, Fermi-level density of states 1.4777 states/eV/atom. Number 12: total magnetization 0.000 μB per formula unit, Fermi-level density of states 1.0368 states/eV/atom.